# 1
VASP calculation (GGA-PBE) on crystalline NiC2 at its relaxed geometry.

Structure (POSCAR):
```
NiC2
1.0
1.270 -3.723 0.000
1.270 3.723 0.000
-1.224 0.000 3.368
Ni C
1 2
Direct
0.000 0.000 0.000
0.286 0.714 0.000
0.714 0.286 0.000
```

Output
* energy of formation: 2.5 eV/f.u.
* relative energy among the computed polymorphs: 416.6 meV/atom
* D(E_F): 0.158 states/eV/atom

---

# 2
VASP calculation (GGA-PBE) on crystalline CdCo2Se at its relaxed geometry.

Structure (POSCAR):
```
CdCo2Se
1.0
4.229 0.000 0.000
0.000 3.120 0.000
-2.052 0.000 4.679
Cd Co Se
1 2 1
Direct
0.000 0.000 0.000
0.500 0.000 0.500
0.500 0.500 0.000
0.000 0.500 0.500
```

Output
* relative energy among the computed polymorphs: 287.2 meV/atom
* D(E_F): 1.356 states/eV/atom

---

# 3
VASP calculation (GGA-PBE) on crystalline InGaHg4Bi at its relaxed geometry.

Structure (POSCAR):
```
InGaHg4Bi
1.0
7.113 -3.232 0.000
7.113 3.232 0.000
-2.749 0.000 8.243
In Ga Hg Bi
2 2 8 2
Direct
0.118 0.118 0.088
0.882 0.882 0.912
0.250 0.250 0.514
0.750 0.750 0.486
0.155 0.155 0.766
0.183 0.693 0.632
0.307 0.817 0.368
0.386 0.386 0.915
0.614 0.614 0.085
0.693 0.183 0.632
0.817 0.307 0.368
0.845 0.845 0.234
0.355 0.355 0.257
0.645 0.645 0.743
```

Output
* energy of formation: 0.5 eV/f.u.
* D(E_F): 0.391 states/eV/atom

---

Repeat the first record exactly.
VASP calculation (GGA-PBE) on crystalline NiC2 at its relaxed geometry.

Structure (POSCAR):
```
NiC2
1.0
1.270 -3.723 0.000
1.270 3.723 0.000
-1.224 0.000 3.368
Ni C
1 2
Direct
0.000 0.000 0.000
0.286 0.714 0.000
0.714 0.286 0.000
```

Output
* energy of formation: 2.5 eV/f.u.
* relative energy among the computed polymorphs: 416.6 meV/atom
* D(E_F): 0.158 states/eV/atom